# PmCuSbO5 (PBE, optimized geometry)
data_PmCuSbO5
_cell_length_a 5.739
_cell_length_b 5.739
_cell_length_c 7.470
_cell_angle_alpha 101.81
_cell_angle_beta 101.81
_cell_angle_gamma 111.83
_space_group_name_H-M_alt 'P 1'
_space_group_IT_number 1
_space_group_name_Hall 'P 1'
loop_
_atom_site_label
_atom_site_fract_x
_atom_site_fract_y
_atom_site_fract_z
_atom_site_occupancy
Sb1 0.000 0.000 0.000 1
Pm1 0.328 0.672 0.250 1
O1 0.296 0.358 0.568 1
O2 0.077 0.923 0.250 1
O3 0.923 0.077 0.750 1
O4 0.120 0.716 0.920 1
O5 0.880 0.284 0.080 1
O6 0.284 0.880 0.580 1
O7 0.704 0.642 0.432 1
O8 0.642 0.704 0.932 1
Cu1 0.673 0.327 0.250 1
O9 0.716 0.120 0.420 1
Pm2 0.672 0.328 0.750 1
Sb2 0.000 0.000 0.500 1
Cu2 0.327 0.673 0.750 1
O10 0.358 0.296 0.068 1
# - Calculated volume: 212.6 Å³/cell
# - Density of states at the Fermi level: 0.149 states/eV/atom
# - Formation energy from raw total energies: -1.804 eV/atom
# - Electronic total energy: -6.524 eV/atom
# - Magnetic moment: 0.128 μB per atom
# - Symmetry: No. 15

***

# Pm2ScCu2O6 (PBE, optimized geometry)
data_Pm2ScCu2O6
_cell_length_a 5.855
_cell_length_b 5.855
_cell_length_c 6.230
_cell_angle_alpha 61.97
_cell_angle_beta 61.97
_cell_angle_gamma 60.00
_space_group_name_H-M_alt 'P 1'
_space_group_IT_number 1
_space_group_name_Hall 'P 1'
loop_
_atom_site_label
_atom_site_fract_x
_atom_site_fract_y
_atom_site_fract_z
_atom_site_occupancy
O1 0.758 0.758 0.278 1
Pm1 0.796 0.796 0.611 1
O2 0.795 0.242 0.722 1
Pm2 0.204 0.204 0.389 1
O3 0.758 0.205 0.278 1
Cu1 0.417 0.417 0.750 1
Sc1 0.000 0.000 0.000 1
O4 0.205 0.758 0.278 1
Cu2 0.583 0.583 0.250 1
O5 0.242 0.242 0.722 1
O6 0.242 0.795 0.722 1
# - Calculated volume: 155.4 Å³/cell
# - Density of states at the Fermi level: 0.631 states/eV/atom
# - Formation energy from raw total energies: -2.144 eV/atom
# - Electronic total energy: -7.033 eV/atom
# - Magnetic moment: 0.096 μB per atom
# - Symmetry: No. 166

***

# Pm2ScCuO6 (PBE, optimized geometry)
data_Pm2ScCuO6
_cell_length_a 5.308
_cell_length_b 5.468
_cell_length_c 9.030
_cell_angle_alpha 90.00
_cell_angle_beta 86.45
_cell_angle_gamma 90.00
_space_group_name_H-M_alt 'P 1'
_space_group_IT_number 1
_space_group_name_Hall 'P 1'
loop_
_atom_site_label
_atom_site_fract_x
_atom_site_fract_y
_atom_site_fract_z
_atom_site_occupancy
O1 0.267 0.704 0.424 1
O2 0.303 0.729 0.060 1
Sc1 0.500 0.000 0.500 1
O3 0.197 0.229 0.440 1
Pm1 0.471 0.448 0.242 1
Pm2 0.529 0.552 0.758 1
O4 0.233 0.204 0.076 1
Pm3 0.029 0.948 0.258 1
Pm4 0.971 0.052 0.742 1
Sc2 0.000 0.500 0.000 1
O5 0.385 0.954 0.719 1
Cu1 0.500 0.000 0.000 1
O6 0.697 0.271 0.940 1
O7 0.767 0.796 0.924 1
O8 0.115 0.454 0.781 1
O9 0.615 0.046 0.281 1
O10 0.885 0.546 0.219 1
O11 0.803 0.771 0.560 1
O12 0.733 0.296 0.576 1
Cu2 0.000 0.500 0.500 1
# - Calculated volume: 261.6 Å³/cell
# - Formation energy from raw total energies: -2.685 eV/atom
# - Electronic total energy: -7.653 eV/atom
# - Magnetic moment: 0.000 μB per atom
# - Symmetry: No. 14

***

# PmCu2SeO2 (PBE, optimized geometry)
data_PmCu2SeO2
_cell_length_a 5.537
_cell_length_b 6.644
_cell_length_c 6.649
_cell_angle_alpha 126.57
_cell_angle_beta 90.00
_cell_angle_gamma 90.00
_space_group_name_H-M_alt 'P 1'
_space_group_IT_number 1
_space_group_name_Hall 'P 1'
loop_
_atom_site_label
_atom_site_fract_x
_atom_site_fract_y
_atom_site_fract_z
_atom_site_occupancy
Pm1 0.250 0.106 0.893 1
Cu1 0.250 0.172 0.396 1
Cu2 0.750 0.828 0.604 1
Se1 0.750 0.258 0.740 1
O1 0.500 0.768 0.769 1
Pm2 0.750 0.894 0.107 1
O2 0.500 0.232 0.231 1
O3 0.000 0.768 0.769 1
Cu3 0.250 0.604 0.830 1
Se2 0.250 0.742 0.260 1
O4 0.000 0.232 0.231 1
Cu4 0.750 0.396 0.170 1
# - Calculated volume: 196.4 Å³/cell
# - Density of states at the Fermi level: 0.869 states/eV/atom
# - Formation energy from raw total energies: -1.210 eV/atom
# - Electronic total energy: -5.601 eV/atom
# - Magnetic moment: 0.000 μB per atom
# - Symmetry: No. 11